Entry 1:
# GaCuSn | the Alexandria database | PBE-GGA | relaxed
data_GaCuSn
_chemical_formula_sum 'Ga2 Cu2 Sn2'
_space_group_name_H-M_alt 'P 1'
_space_group_IT_number 1
_cell_length_a 6.607
_cell_length_b 3.181
_cell_length_c 6.508
_cell_angle_alpha 90.00
_cell_angle_beta 90.00
_cell_angle_gamma 60.19
loop_
_space_group_symop_operation_xyz
'x,y,z'
loop_
_atom_site_label
_atom_site_type_symbol
_atom_site_fract_x
_atom_site_fract_y
_atom_site_fract_z
_atom_site_occupancy
Ga1 Ga 0.992 0.972 0.002 1
Ga2 Ga 0.708 0.749 0.503 1
Cu1 Cu 0.622 0.338 0.218 1
Cu2 Cu 0.078 0.382 0.718 1
Sn1 Sn 0.509 0.955 0.897 1
Sn2 Sn 0.190 0.765 0.396 1
# Raw total energy ... -3.671 eV per atom
# ΔE_f ... 0.037 eV/atom

Entry 2:
# GaCu6Sn | the Alexandria database | PBE-GGA | relaxed
data_GaCu6Sn
_chemical_formula_sum 'Ga4 Cu24 Sn4'
_space_group_name_H-M_alt 'P 1'
_space_group_IT_number 1
_cell_length_a 6.592
_cell_length_b 6.592
_cell_length_c 10.629
_cell_angle_alpha 90.00
_cell_angle_beta 90.00
_cell_angle_gamma 109.05
loop_
_space_group_symop_operation_xyz
'x,y,z'
loop_
_atom_site_label
_atom_site_type_symbol
_atom_site_fract_x
_atom_site_fract_y
_atom_site_fract_z
_atom_site_occupancy
Cu1 Cu 0.000 0.000 0.000 1
Cu2 Cu 0.118 0.372 0.620 1
Cu3 Cu 0.756 0.244 0.258 1
Cu4 Cu 0.634 0.880 0.131 1
Cu5 Cu 0.372 0.118 0.620 1
Cu6 Cu 0.628 0.882 0.620 1
Cu7 Cu 0.120 0.366 0.869 1
Cu8 Cu 0.118 0.372 0.380 1
Cu9 Cu 0.882 0.628 0.620 1
Cu10 Cu 0.120 0.366 0.131 1
Cu11 Cu 0.628 0.882 0.380 1
Cu12 Cu 0.372 0.118 0.380 1
Cu13 Cu 0.882 0.628 0.380 1
Cu14 Cu 0.634 0.880 0.869 1
Cu15 Cu 0.000 0.000 0.500 1
Cu16 Cu 0.500 0.500 0.000 1
Cu17 Cu 0.366 0.120 0.131 1
Cu18 Cu 0.880 0.634 0.131 1
Cu19 Cu 0.756 0.244 0.742 1
Cu20 Cu 0.244 0.756 0.258 1
Cu21 Cu 0.880 0.634 0.869 1
Cu22 Cu 0.500 0.500 0.500 1
Cu23 Cu 0.366 0.120 0.869 1
Cu24 Cu 0.244 0.756 0.742 1
Ga1 Ga 0.251 0.749 0.500 1
Ga2 Ga 0.749 0.251 0.500 1
Ga3 Ga 0.000 0.000 0.745 1
Ga4 Ga 0.000 0.000 0.255 1
Sn1 Sn 0.500 0.500 0.747 1
Sn2 Sn 0.748 0.252 0.000 1
Sn3 Sn 0.252 0.748 0.000 1
Sn4 Sn 0.500 0.500 0.253 1
# Polymorph energy (0 for the lowest one) ... 1.3 kJ per mole of atoms
# Raw total energy ... -3.962 eV per atom
# ΔE_f ... -0.012 eV/atom

Entry 3:
# Ga2Cu2Sn | the Alexandria database | PBE-GGA | relaxed
data_Ga2Cu2Sn
_chemical_formula_sum 'Ga4 Cu4 Sn2'
_space_group_name_H-M_alt 'P 1'
_space_group_IT_number 1
_cell_length_a 7.481
_cell_length_b 7.481
_cell_length_c 3.058
_cell_angle_alpha 90.00
_cell_angle_beta 90.00
_cell_angle_gamma 90.00
loop_
_space_group_symop_operation_xyz
'x,y,z'
loop_
_atom_site_label
_atom_site_type_symbol
_atom_site_fract_x
_atom_site_fract_y
_atom_site_fract_z
_atom_site_occupancy
Cu1 Cu 0.876 0.624 0.000 1
Cu2 Cu 0.376 0.876 0.000 1
Cu3 Cu 0.124 0.376 0.000 1
Cu4 Cu 0.624 0.124 0.000 1
Ga1 Ga 0.331 0.169 0.500 1
Ga2 Ga 0.831 0.331 0.500 1
Ga3 Ga 0.169 0.669 0.500 1
Ga4 Ga 0.669 0.831 0.500 1
Sn1 Sn 0.000 0.000 0.000 1
Sn2 Sn 0.500 0.500 0.000 1
# Polymorph energy (0 for the lowest one) ... 4.7 kJ per mole of atoms
# Raw total energy ... -3.586 eV per atom
# ΔE_f ... 0.064 eV/atom

Entry 4:
# GaCuSn | the Alexandria database | PBE-GGA | relaxed
data_GaCuSn
_chemical_formula_sum 'Ga4 Cu4 Sn4'
_space_group_name_H-M_alt 'P 1'
_space_group_IT_number 1
_cell_length_a 7.306
_cell_length_b 5.966
_cell_length_c 5.383
_cell_angle_alpha 90.00
_cell_angle_beta 90.00
_cell_angle_gamma 90.00
loop_
_space_group_symop_operation_xyz
'x,y,z'
loop_
_atom_site_label
_atom_site_type_symbol
_atom_site_fract_x
_atom_site_fract_y
_atom_site_fract_z
_atom_site_occupancy
Cu1 Cu 0.770 0.750 0.496 1
Cu2 Cu 0.730 0.250 0.996 1
Cu3 Cu 0.270 0.750 0.004 1
Cu4 Cu 0.230 0.250 0.504 1
Ga1 Ga 0.000 0.500 0.000 1
Ga2 Ga 0.500 0.000 0.500 1
Ga3 Ga 0.000 0.000 0.000 1
Ga4 Ga 0.500 0.500 0.500 1
Sn1 Sn 0.366 0.250 0.002 1
Sn2 Sn 0.634 0.750 0.998 1
Sn3 Sn 0.866 0.250 0.498 1
Sn4 Sn 0.134 0.750 0.502 1
# Raw total energy ... -3.614 eV per atom
# ΔE_f ... 0.095 eV/atom

- What is the raw total energy in the second record?
  -3.962 eV per atom